(1)
H24PtC8N2F6, relaxed, DFT PBE-GGA; total DFT energy (no corrections) = -5.08 eV per atom
1.0
-3.875 3.875 5.479
3.875 -3.875 5.479
3.875 3.875 -5.479
H Pt C N F
24 1 8 2 6
Direct
0.003 0.818 0.282
0.032 0.513 0.781
0.033 0.783 0.593
0.182 0.464 0.184
0.190 0.440 0.407
0.217 0.810 0.251
0.251 0.032 0.519
0.268 0.749 0.781
0.280 0.997 0.816
0.440 0.033 0.251
0.464 0.280 0.282
0.487 0.268 0.519
0.513 0.732 0.481
0.536 0.720 0.718
0.560 0.967 0.749
0.720 0.003 0.184
0.732 0.251 0.219
0.749 0.968 0.481
0.783 0.190 0.749
0.810 0.560 0.593
0.818 0.536 0.816
0.967 0.217 0.407
0.968 0.487 0.219
0.997 0.182 0.718
0.500 0.500 0.000
0.138 0.517 0.313
0.174 0.862 0.379
0.205 0.826 0.687
0.483 0.795 0.621
0.517 0.205 0.379
0.795 0.174 0.313
0.826 0.138 0.621
0.862 0.483 0.687
0.250 0.750 0.500
0.750 0.250 0.500
0.286 0.364 0.650
0.321 0.321 0.000
0.364 0.714 0.078
0.636 0.286 0.922
0.679 0.679 0.000
0.714 0.636 0.350



(2)
NbH12C10S4OF4, relaxed, DFT PBE-GGA; total DFT energy (no corrections) = -5.93 eV per atom
1.0
3.877 0.000 0.000
-0.153 7.568 0.000
-0.677 -2.587 12.155
Nb H C S O F
1 12 10 4 1 4
Direct
0.000 0.000 0.000
0.229 0.053 0.754
0.252 0.486 0.907
0.330 0.582 0.129
0.344 0.856 0.227
0.450 0.355 0.127
0.489 0.996 0.356
0.511 0.004 0.644
0.550 0.645 0.873
0.656 0.144 0.773
0.670 0.418 0.871
0.748 0.514 0.093
0.771 0.947 0.246
0.077 0.469 0.544
0.322 0.274 0.674
0.333 0.447 0.735
0.436 0.110 0.713
0.459 0.503 0.853
0.541 0.497 0.147
0.564 0.890 0.287
0.667 0.553 0.265
0.678 0.726 0.326
0.923 0.531 0.456
0.161 0.245 0.539
0.187 0.612 0.668
0.813 0.388 0.332
0.839 0.755 0.461
0.500 0.000 0.000
0.001 0.773 0.053
0.036 0.134 0.154
0.964 0.866 0.846
0.999 0.227 0.947



(3)
NdH18C3S3O18F9, relaxed, DFT PBE-GGA; total DFT energy (no corrections) = -5.38 eV per atom
1.0
12.891 0.000 0.000
-6.446 11.164 0.000
0.000 0.000 7.088
Nd H C S O F
2 36 6 6 36 18
Direct
0.333 0.667 0.250
0.667 0.333 0.750
0.094 0.433 0.137
0.094 0.433 0.363
0.117 0.622 0.022
0.117 0.622 0.478
0.226 0.713 0.596
0.226 0.713 0.904
0.287 0.513 0.596
0.287 0.513 0.904
0.340 0.906 0.137
0.340 0.906 0.363
0.378 0.495 0.022
0.378 0.495 0.478
0.433 0.340 0.637
0.433 0.340 0.863
0.487 0.774 0.596
0.487 0.774 0.904
0.495 0.117 0.522
0.495 0.117 0.978
0.505 0.883 0.022
0.505 0.883 0.478
0.513 0.226 0.096
0.513 0.226 0.404
0.567 0.660 0.137
0.567 0.660 0.363
0.622 0.505 0.522
0.622 0.505 0.978
0.660 0.094 0.637
0.660 0.094 0.863
0.713 0.487 0.096
0.713 0.487 0.404
0.774 0.287 0.096
0.774 0.287 0.404
0.883 0.378 0.522
0.883 0.378 0.978
0.906 0.567 0.637
0.906 0.567 0.863
0.000 0.200 0.750
0.000 0.800 0.250
0.199 0.000 0.750
0.200 0.199 0.250
0.800 0.801 0.750
0.801 0.000 0.250
0.059 0.362 0.750
0.303 0.941 0.750
0.362 0.303 0.250
0.638 0.697 0.750
0.697 0.059 0.250
0.941 0.638 0.250
0.014 0.386 0.576
0.014 0.386 0.924
0.141 0.474 0.250
0.188 0.408 0.750
0.199 0.643 0.514
0.199 0.643 0.986
0.220 0.812 0.750
0.332 0.859 0.250
0.357 0.556 0.514
0.357 0.556 0.986
0.372 0.986 0.576
0.372 0.986 0.924
0.386 0.372 0.076
0.386 0.372 0.424
0.408 0.220 0.250
0.444 0.801 0.514
0.444 0.801 0.986
0.474 0.332 0.750
0.526 0.668 0.250
0.556 0.199 0.014
0.556 0.199 0.486
0.592 0.780 0.750
0.614 0.628 0.576
0.614 0.628 0.924
0.628 0.014 0.076
0.628 0.014 0.424
0.643 0.444 0.014
0.643 0.444 0.486
0.668 0.141 0.750
0.780 0.188 0.250
0.801 0.357 0.014
0.801 0.357 0.486
0.812 0.592 0.250
0.859 0.526 0.750
0.986 0.614 0.076
0.986 0.614 0.424
0.042 0.171 0.597
0.042 0.171 0.903
0.120 0.861 0.250
0.129 0.958 0.597
0.129 0.958 0.903
0.139 0.259 0.250
0.171 0.129 0.097
0.171 0.129 0.403
0.259 0.120 0.750
0.741 0.880 0.250
0.829 0.871 0.597
0.829 0.871 0.903
0.861 0.741 0.750
0.871 0.042 0.097
0.871 0.042 0.403
0.880 0.139 0.750
0.958 0.829 0.097
0.958 0.829 0.403



(4)
ReH12C4O5F, relaxed, DFT PBE-GGA; total DFT energy (no corrections) = -5.67 eV per atom
1.0
5.963 0.000 0.000
2.800 5.766 0.000
1.676 2.004 11.539
Re H C O F
2 24 8 10 2
Direct
0.170 0.096 0.230
0.830 0.904 0.770
0.089 0.355 0.845
0.092 0.252 0.491
0.105 0.131 0.968
0.117 0.654 0.385
0.212 0.252 0.623
0.255 0.050 0.833
0.330 0.640 0.635
0.347 0.671 0.021
0.356 0.468 0.154
0.358 0.833 0.504
0.478 0.830 0.636
0.489 0.342 0.860
0.511 0.658 0.140
0.522 0.170 0.364
0.642 0.167 0.496
0.644 0.532 0.846
0.653 0.329 0.979
0.670 0.360 0.365
0.745 0.950 0.167
0.788 0.748 0.377
0.883 0.346 0.615
0.895 0.869 0.032
0.908 0.748 0.509
0.911 0.645 0.155
0.069 0.226 0.586
0.095 0.179 0.874
0.331 0.812 0.599
0.351 0.641 0.116
0.649 0.359 0.884
0.669 0.188 0.401
0.905 0.821 0.126
0.931 0.774 0.414
0.090 0.990 0.628
0.124 0.324 0.302
0.128 0.820 0.160
0.338 0.151 0.105
0.397 0.850 0.310
0.603 0.150 0.690
0.662 0.849 0.895
0.872 0.180 0.840
0.876 0.676 0.698
0.910 0.010 0.372
0.156 0.740 0.838
0.844 0.260 0.162



(5)
HgCSO3F3, relaxed, DFT PBE-GGA; total DFT energy (no corrections) = -4.98 eV per atom
1.0
4.892 0.000 0.000
-0.360 4.928 0.000
-0.975 -0.635 9.654
Hg C S O F
2 2 2 6 6
Direct
0.168 0.128 0.093
0.832 0.872 0.907
0.336 0.222 0.621
0.664 0.778 0.379
0.338 0.428 0.786
0.662 0.572 0.214
0.049 0.457 0.799
0.484 0.276 0.890
0.494 0.683 0.757
0.506 0.317 0.243
0.516 0.724 0.110
0.951 0.543 0.201
0.163 0.998 0.622
0.251 0.364 0.513
0.405 0.847 0.390
0.595 0.153 0.610
0.749 0.636 0.487
0.837 0.002 0.378



(6)
Ho2CIF, relaxed, DFT PBE-GGA; total DFT energy (no corrections) = -6.02 eV per atom
1.0
3.703 0.000 0.000
-1.852 3.207 0.000
0.000 0.000 8.606
Ho C I F
2 1 1 1
Direct
0.000 0.000 0.000
0.333 0.667 0.692
0.667 0.333 0.837
0.000 0.000 0.430
0.333 0.667 0.109